Record 1
This record from the Alexandria database describes Hf2Mn2Pd after structural relaxation. The functional is PBE.

Structure (CIF):
```
data_Hf2Mn2Pd
_chemical_formula_sum 'Hf4 Mn4 Pd2'
_cell_length_a 6.482
_cell_length_b 6.482
_cell_length_c 3.886
_cell_angle_alpha 90.00
_cell_angle_beta 90.00
_cell_angle_gamma 90.00
_space_group_name_H-M_alt 'P 4/m b m'
_space_group_IT_number 127
_space_group_name_Hall '-P 4 2ab'
loop_
_atom_site_label
_atom_site_type_symbol
_atom_site_fract_x
_atom_site_fract_y
_atom_site_fract_z
Hf1 Hf 0.182 0.318 0.000
Mn1 Mn 0.110 0.610 0.500
Pd1 Pd 0.000 0.000 0.500
```

Properties
final energy	-89.0	eV for the cell shown
total magnetization	0.8	μB per formula unit
energy of formation from the pure elements	-208	meV per atom

Record 2
This record from the Alexandria database describes Pm4SiTe2P after structural relaxation. The functional is PBE.

Structure (CIF):
```
data_Pm4SiTe2P
_chemical_formula_sum 'Pm4 Si1 Te2 P1'
_cell_length_a 7.422
_cell_length_b 4.284
_cell_length_c 7.659
_cell_angle_alpha 90.00
_cell_angle_beta 108.81
_cell_angle_gamma 90.00
_space_group_name_H-M_alt 'P 1 2/m 1'
_space_group_IT_number 10
_space_group_name_Hall '-P 2y'
loop_
_atom_site_label
_atom_site_type_symbol
_atom_site_fract_x
_atom_site_fract_y
_atom_site_fract_z
Pm1 Pm 0.238 0.000 0.217
Pm2 Pm 0.259 0.500 0.780
Si1 Si 0.500 0.000 0.000
Te1 Te 0.000 0.000 0.500
Te2 Te 0.500 0.500 0.500
P1 P 0.000 0.500 0.000
```

Properties
final energy	-47.0	eV for the cell shown
total magnetization	0.0	μB per formula unit

Record 3
This record from the Alexandria database describes PmSe2O6 after structural relaxation. The functional is PBE.

Structure (CIF):
```
data_PmSe2O6
_chemical_formula_sum 'Pm8 Se16 O48'
_cell_length_a 11.597
_cell_length_b 12.469
_cell_length_c 7.604
_cell_angle_alpha 90.00
_cell_angle_beta 90.00
_cell_angle_gamma 90.00
_space_group_name_H-M_alt 'F d d 2'
_space_group_IT_number 43
_space_group_name_Hall 'F 2 -2d'
loop_
_atom_site_label
_atom_site_type_symbol
_atom_site_fract_x
_atom_site_fract_y
_atom_site_fract_z
Pm1 Pm 0.000 0.000 0.000
Se1 Se 0.067 0.262 0.810
O1 O 0.010 0.382 0.746
O2 O 0.055 0.311 0.370
O3 O 0.124 0.043 0.760
```

Properties
final energy	-437.4	eV for the cell shown
total magnetization	1.0	μB per formula unit

Record 4
This record from the Alexandria database describes SmY2Pd after structural relaxation. The functional is PBE.

Structure (CIF):
```
data_SmY2Pd
_chemical_formula_sum 'Sm4 Y8 Pd4'
_cell_length_a 7.106
_cell_length_b 9.783
_cell_length_c 6.551
_cell_angle_alpha 90.00
_cell_angle_beta 90.00
_cell_angle_gamma 90.00
_space_group_name_H-M_alt 'P n m a'
_space_group_IT_number 62
_space_group_name_Hall '-P 2ac 2n'
loop_
_atom_site_label
_atom_site_type_symbol
_atom_site_fract_x
_atom_site_fract_y
_atom_site_fract_z
Sm1 Sm 0.021 0.250 0.135
Y1 Y 0.179 0.060 0.674
Pd1 Pd 0.113 0.750 0.436
```

Properties
final energy	-98.7	eV for the cell shown
total magnetization	0.0	μB per formula unit
offset from the most stable computed form	0.000	eV/atom
energy of formation from the pure elements	-457	meV per atom

Record 5
This record from the Alexandria database describes PuBi2RhN after structural relaxation. The functional is PBE.

Structure (CIF):
```
data_PuBi2RhN
_chemical_formula_sum 'Pu2 Bi4 Rh2 N2'
_cell_length_a 3.838
_cell_length_b 3.838
_cell_length_c 15.599
_cell_angle_alpha 90.00
_cell_angle_beta 90.00
_cell_angle_gamma 90.00
_space_group_name_H-M_alt 'P 4/n m m'
_space_group_IT_number 129
loop_
_space_group_symop_operation_xyz
'x,y,z'
'-x,-y,-z'
'-y+1/2,x,z'
'y+1/2,-x,-z'
'-x+1/2,-y+1/2,z'
'x+1/2,y+1/2,-z'
'y,-x+1/2,z'
'-y,x+1/2,-z'
'x+1/2,-y,-z'
'-x+1/2,y,z'
'-y,-x,-z'
'y,x,z'
'-x,y+1/2,-z'
'x,-y+1/2,z'
'y+1/2,x+1/2,-z'
'-y+1/2,-x+1/2,z'
loop_
_atom_site_label
_atom_site_type_symbol
_atom_site_fract_x
_atom_site_fract_y
_atom_site_fract_z
Pu1 Pu 0.250 0.250 0.071
Bi1 Bi 0.250 0.250 0.425
Bi2 Bi 0.250 0.250 0.784
Rh1 Rh 0.250 0.250 0.611
N1 N 0.250 0.750 0.000
```

Properties
final energy	-80.6	eV for the cell shown
total magnetization	4.3	μB per formula unit

Record 6
This record from the Alexandria database describes BTeIBr2 after structural relaxation. The functional is PBE.

Structure (CIF):
```
data_BTeIBr2
_chemical_formula_sum 'B1 Te1 I1 Br2'
_cell_length_a 5.716
_cell_length_b 5.716
_cell_length_c 5.950
_cell_angle_alpha 90.00
_cell_angle_beta 90.00
_cell_angle_gamma 90.00
_space_group_name_H-M_alt 'P 4/m m m'
_space_group_IT_number 123
_space_group_name_Hall '-P 4 2'
loop_
_atom_site_label
_atom_site_type_symbol
_atom_site_fract_x
_atom_site_fract_y
_atom_site_fract_z
B1 B 0.000 0.000 0.000
Te1 Te 0.500 0.500 0.000
I1 I 0.500 0.500 0.500
Br1 Br 0.000 0.500 0.500
```

Properties
final energy	-8.3	eV for the cell shown
total magnetization	0.0	μB per formula unit

Record 7
This record from the Alexandria database describes KOsRh2 after structural relaxation. The functional is PBE.

Structure (CIF):
```
data_KOsRh2
_chemical_formula_sum 'K2 Os2 Rh4'
_cell_length_a 2.739
_cell_length_b 4.843
_cell_length_c 10.525
_cell_angle_alpha 90.00
_cell_angle_beta 90.00
_cell_angle_gamma 90.00
_space_group_name_H-M_alt 'I m m 2'
_space_group_IT_number 44
_space_group_name_Hall 'I 2 -2'
loop_
_atom_site_label
_atom_site_type_symbol
_atom_site_fract_x
_atom_site_fract_y
_atom_site_fract_z
K1 K 0.000 0.000 0.000
Os1 Os 0.000 0.500 0.782
Rh1 Rh 0.000 0.000 0.486
Rh2 Rh 0.000 0.500 0.218
```

Properties
final energy	-47.6	eV for the cell shown
total magnetization	0.0	μB per formula unit
offset from the most stable computed form	0.374	eV/atom
energy of formation from the pure elements	813	meV per atom

Record 8
This record from the Alexandria database describes La4Tl2CdAg after structural relaxation. The functional is PBE.

Structure (CIF):
```
data_La4Tl2CdAg
_chemical_formula_sum 'La12 Tl6 Cd3 Ag3'
_cell_length_a 5.5677
_cell_length_b 5.5677
_cell_length_c 27.2964
_cell_angle_alpha 90.00
_cell_angle_beta 90.00
_cell_angle_gamma 120.00
_space_group_name_H-M_alt 'R -3 m'
_space_group_IT_number 166
_space_group_name_Hall '-R 3 2"'
loop_
_atom_site_label
_atom_site_type_symbol
_atom_site_fract_x
_atom_site_fract_y
_atom_site_fract_z
La1 La 0.0000 0.0000 0.1218
La2 La 0.0000 0.0000 0.3719
Tl1 Tl 0.0000 0.0000 0.2472
Cd1 Cd 0.0000 0.0000 0.5000
Ag1 Ag 0.0000 0.0000 0.0000
```

Properties
final energy	-93.4	eV for the cell shown
total magnetization	1.3	μB per formula unit
energy of formation from the pure elements	-367	meV per atom

Record 9
This record from the Alexandria database describes Mn4FeGe2 after structural relaxation. The functional is PBE.

Structure (CIF):
```
data_Mn4FeGe2
_chemical_formula_sum 'Mn8 Fe2 Ge4'
_cell_length_a 3.111
_cell_length_b 3.111
_cell_length_c 18.491
_cell_angle_alpha 90.00
_cell_angle_beta 90.00
_cell_angle_gamma 90.00
_space_group_name_H-M_alt 'I 4/m m m'
_space_group_IT_number 139
_space_group_name_Hall '-I 4 2'
loop_
_atom_site_label
_atom_site_type_symbol
_atom_site_fract_x
_atom_site_fract_y
_atom_site_fract_z
Mn1 Mn 0.000 0.000 0.143
Mn2 Mn 0.000 0.500 0.250
Fe1 Fe 0.000 0.000 0.000
Ge1 Ge 0.000 0.000 0.425
```

Properties
final energy	-104.6	eV for the cell shown
total magnetization	4.8	μB per formula unit
offset from the most stable computed form	0.000	eV/atom
energy of formation from the pure elements	294	meV per atom

Record 10
This record from the Alexandria database describes Nb6Re5Mo after structural relaxation. The functional is PBE.

Structure (CIF):
```
data_Nb6Re5Mo
_chemical_formula_sum 'Nb12 Re10 Mo2'
_cell_length_a 4.540
_cell_length_b 13.631
_cell_length_c 6.418
_cell_angle_alpha 90.00
_cell_angle_beta 90.00
_cell_angle_gamma 90.00
_space_group_name_H-M_alt 'C m m m'
_space_group_IT_number 65
_space_group_name_Hall '-C 2 2'
loop_
_atom_site_label
_atom_site_type_symbol
_atom_site_fract_x
_atom_site_fract_y
_atom_site_fract_z
Nb1 Nb 0.000 0.000 0.250
Nb2 Nb 0.000 0.333 0.250
Re1 Re 0.000 0.167 0.000
Re2 Re 0.000 0.167 0.500
Re3 Re 0.000 0.500 0.000
Mo1 Mo 0.000 0.500 0.500
```

Properties
final energy	-273.3	eV for the cell shown
total magnetization	0.0	μB per formula unit
energy of formation from the pure elements	-264	meV per atom

Record 11
This record from the Alexandria database describes CaCo2Ir after structural relaxation. The functional is PBE.

Structure (CIF):
```
data_CaCo2Ir
_chemical_formula_sum 'Ca4 Co8 Ir4'
_cell_length_a 6.277
_cell_length_b 6.277
_cell_length_c 6.277
_cell_angle_alpha 90.00
_cell_angle_beta 90.00
_cell_angle_gamma 90.00
_space_group_name_H-M_alt 'F -4 3 m'
_space_group_IT_number 216
_space_group_name_Hall 'F -4 2 3'
loop_
_atom_site_label
_atom_site_type_symbol
_atom_site_fract_x
_atom_site_fract_y
_atom_site_fract_z
Ca1 Ca 0.000 0.000 0.000
Co1 Co 0.000 0.000 0.500
Co2 Co 0.250 0.250 0.750
Ir1 Ir 0.250 0.250 0.250
```

Properties
final energy	-93.9	eV for the cell shown
total magnetization	4.2	μB per formula unit
energy of formation from the pure elements	403	meV per atom

Record 12
This record from the Alexandria database describes Rb2AgPPt after structural relaxation. The functional is PBE.

Structure (CIF):
```
data_Rb2AgPPt
_chemical_formula_sum 'Rb2 Ag1 P1 Pt1'
_cell_length_a 6.709
_cell_length_b 6.709
_cell_length_c 4.344
_cell_angle_alpha 90.00
_cell_angle_beta 90.00
_cell_angle_gamma 90.00
_space_group_name_H-M_alt 'P 4/m m m'
_space_group_IT_number 123
_space_group_name_Hall '-P 4 2'
loop_
_atom_site_label
_atom_site_type_symbol
_atom_site_fract_x
_atom_site_fract_y
_atom_site_fract_z
Rb1 Rb 0.000 0.500 0.000
Ag1 Ag 0.000 0.000 0.500
P1 P 0.500 0.500 0.000
Pt1 Pt 0.500 0.500 0.500
```

Properties
final energy	-16.8	eV for the cell shown
total magnetization	0.0	μB per formula unit
offset from the most stable computed form	0.011	eV/atom
energy of formation from the pure elements	-120	meV per atom

Record 13
This record from the Alexandria database describes CsNaSe after structural relaxation. The functional is PBE.

Structure (CIF):
```
data_CsNaSe
_chemical_formula_sum 'Cs1 Na1 Se1'
_cell_length_a 4.9385
_cell_length_b 4.9385
_cell_length_c 5.2779
_cell_angle_alpha 90.00
_cell_angle_beta 90.00
_cell_angle_gamma 120.00
_space_group_name_H-M_alt 'P 3 m 1'
_space_group_IT_number 156
_space_group_name_Hall 'P 3 -2"'
loop_
_atom_site_label
_atom_site_type_symbol
_atom_site_fract_x
_atom_site_fract_y
_atom_site_fract_z
Cs1 Cs 0.0000 0.0000 0.0000
Na1 Na 0.6667 0.3333 0.4999
Se1 Se 0.3333 0.6667 0.5010
```

Properties
final energy	-8.7	eV for the cell shown
total magnetization	0.0	μB per formula unit

Record 14
This record from the Alexandria database describes TlIn2NiGe after structural relaxation. The functional is PBE.

Structure (CIF):
```
data_TlIn2NiGe
_chemical_formula_sum 'Tl1 In2 Ni1 Ge1'
_cell_length_a 5.151
_cell_length_b 5.151
_cell_length_c 4.545
_cell_angle_alpha 90.00
_cell_angle_beta 90.00
_cell_angle_gamma 90.00
_space_group_name_H-M_alt 'P 4/m m m'
_space_group_IT_number 123
_space_group_name_Hall '-P 4 2'
loop_
_atom_site_label
_atom_site_type_symbol
_atom_site_fract_x
_atom_site_fract_y
_atom_site_fract_z
Tl1 Tl 0.000 0.000 0.000
In1 In 0.000 0.500 0.500
Ni1 Ni 0.500 0.500 0.500
Ge1 Ge 0.500 0.500 0.000
```

Properties
final energy	-18.1	eV for the cell shown
total magnetization	0.0	μB per formula unit
energy of formation from the pure elements	37	meV per atom

Record 15
This record from the Alexandria database describes Ac6PdPt2Rh after structural relaxation. The functional is PBE.

Structure (CIF):
```
data_Ac6PdPt2Rh
_chemical_formula_sum 'Ac18 Pd3 Pt6 Rh3'
_cell_length_a 7.6166
_cell_length_b 7.6166
_cell_length_c 21.1566
_cell_angle_alpha 90.00
_cell_angle_beta 90.00
_cell_angle_gamma 120.00
_space_group_name_H-M_alt 'R 3'
_space_group_IT_number 146
_space_group_name_Hall 'R 3'
loop_
_atom_site_label
_atom_site_type_symbol
_atom_site_fract_x
_atom_site_fract_y
_atom_site_fract_z
Ac1 Ac 0.0009 0.6866 0.0000
Ac2 Ac 0.0128 0.3403 0.1636
Pd1 Pd 0.0000 0.0000 0.5880
Pt1 Pt 0.0000 0.0000 0.4091
Pt2 Pt 0.0000 0.0000 0.9074
Rh1 Rh 0.0000 0.0000 0.0883
```

Properties
final energy	-171.5	eV for the cell shown
total magnetization	0.0	μB per formula unit
energy of formation from the pure elements	-789	meV per atom